1.
# Ag4SbAs | the Alexandria database | GGA-PBEsol | optimized geometry
data_Ag4SbAs
_chemical_formula_sum 'Ag16 Sb4 As4'
_symmetry_space_group_name_H-M 'F -4 3 m'
_symmetry_Int_Tables_number 216
_symmetry_space_group_name_Hall 'F -4 2 3'
_cell_length_a 7.7046
_cell_length_b 7.7046
_cell_length_c 7.7046
_cell_angle_alpha 90.00
_cell_angle_beta 90.00
_cell_angle_gamma 90.00
loop_
_atom_site_label
_atom_site_fract_x
_atom_site_fract_y
_atom_site_fract_z
_atom_site_occupancy
Ag1 0.1251 0.1251 0.1251 1
Sb1 0.2500 0.2500 0.7500 1
As1 0.0000 0.0000 0.5000 1
# Calculated total energy   -21.67 eV/f.u.

***

2.
# AgSbAs | the Alexandria database | GGA-PBEsol | optimized geometry
data_AgSbAs
_chemical_formula_sum 'Ag1 Sb1 As1'
_symmetry_space_group_name_H-M 'P -6 m 2'
_symmetry_Int_Tables_number 187
_symmetry_space_group_name_Hall 'P -6 2'
_cell_length_a 5.1101
_cell_length_b 5.1101
_cell_length_c 2.8938
_cell_angle_alpha 90.00
_cell_angle_beta 90.00
_cell_angle_gamma 120.00
loop_
_atom_site_label
_atom_site_fract_x
_atom_site_fract_y
_atom_site_fract_z
_atom_site_occupancy
Ag1 0.0000 0.0000 0.0000 1
Sb1 0.6667 0.3333 0.0000 1
As1 0.3333 0.6667 0.0000 1
# Calculated total energy   -12.33 eV/f.u.
# Energy relative to the lowest polymorph listed for this composition   0.0 meV/atom

***

In the order shown, the computed energy relative to the elements, uncorrected values come out to 0.2070 0.2148 eV/atom.